Below is a geometry-optimized Ac2Cu3Ag structure, with properties calculated at the PBE-GGA level.

Properties
total energy	-4.11	eV per atom
ΔH_f (0 K)	-0.22	eV/atom
spin magnetization	0.0	μB per formula unit
crystal system	orthorhombic

a = 9.0296 Å, b = 8.8221 Å, c = 6.0949 Å
α = 71.88°, β = 68.21°, γ = 39.91°
With the nearest neighbours (Å) after each atom.
Element x y z (fractional)
Ac: 0.2473 0.7527 0.7527  10 Cu 3.24-3.36, 2 Ag 3.32
Ac: 0.2500 0.2500 0.2500  4 Ag 3.32, 8 Cu 3.34-3.35
Ac: 0.7500 0.7500 0.7500  4 Ag 3.32, 8 Cu 3.34-3.35
Ac: 0.7527 0.2473 0.2473  10 Cu 3.24-3.36, 2 Ag 3.32
Cu: 0.1610 0.6772 0.3228  2 Cu 2.52-2.53, 1 Ag 2.69
Cu: 0.1615 0.1615 0.8385  2 Cu 2.52, 1 Ag 2.69
Cu: 0.3228 0.8390 0.1610  2 Cu 2.52-2.53, 1 Ag 2.69
Cu: 0.6772 0.1610 0.8390  2 Cu 2.52-2.53, 1 Ag 2.69
Cu: 0.8385 0.8385 0.1615  2 Cu 2.52, 1 Ag 2.69
Cu: 0.8390 0.3228 0.6772  2 Cu 2.52-2.53, 1 Ag 2.69
Ag: 0.3336 0.3336 0.6664  3 Cu 2.69
Ag: 0.6664 0.6664 0.3336  3 Cu 2.69

Below is a geometry-optimized Ba3Li2Mg2 structure, with properties calculated at the PBE-GGA level.

Properties
total energy	-1.82	eV per atom
ΔH_f (0 K)	0.01	eV/atom
spin magnetization	0.0	μB per formula unit
crystal system	orthorhombic

a = 13.4086 Å, b = 13.4086 Å, c = 4.3737 Å
α = 90.00°, β = 90.00°, γ = 159.47°
With the nearest neighbours (Å) after each atom.
Element x y z (fractional)
Ba: 0.0000 0.0000 0.0000  8 Mg 3.89, 2 Ba 4.16
Ba: 0.1576 0.8424 0.0000  6 Li 3.62-3.93, 4 Mg 3.81
Ba: 0.8424 0.1576 0.0000  6 Li 3.62-3.93, 4 Mg 3.81
Li: 0.2813 0.7187 0.5000  2 Li 2.91
Li: 0.7187 0.2813 0.5000  2 Li 2.91
Mg: 0.4185 0.5815 0.5000  1 Li 3.62, 8 Ba 3.81-3.89
Mg: 0.5815 0.4185 0.5000  1 Li 3.62, 8 Ba 3.81-3.89